Fe2RhBr GGA-PBE relaxed; formation energy from raw total energies = 0.573 eV per atom; symmetry = Immm; polymorph energy (0 for the lowest one) = 0.291 eV per atom; M_tot = 6.29 μB/f.u.; total energy = -5.91 eV per atom
1.0
5.179 0.011 -0.001
2.435 4.571 0.001
-3.325 -3.092 2.492
Br Fe Rh
1 2 1
Direct
0.250 0.750 0.500
0.007 0.007 0.000
0.493 0.493 0.000
0.750 0.250 0.500